Record 1
Compound: La3Nd6Dy2Tm
Source: the Alexandria database
Functional: PBE
Structure: relaxed Values from VASP.

Computed properties:
ΔE_f   0.02 eV/atom

Geometry as Quantum ESPRESSO input:
```
&SYSTEM
  ibrav = 0, nat = 12, ntyp = 4
/
ATOMIC_SPECIES
Tm 168.93 Tm.upf
La 138.91 La.upf
Nd 144.24 Nd.upf
Dy 162.50 Dy.upf
ATOMIC_POSITIONS angstrom
Tm 0.000 0.000 0.000
La 1.876 -5.426 4.524
Nd -4.274 -6.894 5.378
Nd 0.955 -2.672 2.197
Dy -1.905 -2.362 -2.052
Nd -2.573 -2.030 1.462
Nd -2.372 -4.526 7.432
Nd -0.746 -7.536 6.113
La -1.659 -4.783 3.787
La -5.195 -4.139 3.051
Dy 1.630 -3.005 -1.316
Nd -0.947 -5.039 0.143
CELL_PARAMETERS angstrom
-5.438 -1.719 -2.789
5.164 -3.648 -0.580
-3.044 -4.198 10.943
```

=====

Record 2
Compound: TcAs2Ir
Source: the Alexandria database
Functional: PBE
Structure: relaxed Values from VASP.

Computed properties:
ΔE_f   0.40 eV/atom
Excess energy over the best structure of this formula in the dataset   0.4435 eV/atom

Geometry as Quantum ESPRESSO input:
```
&SYSTEM
  ibrav = 0, nat = 4, ntyp = 3
/
ATOMIC_SPECIES
As 74.92 As.upf
Ir 192.22 Ir.upf
Tc 98.00 Tc.upf
ATOMIC_POSITIONS angstrom
As 2.133 2.365 2.436
Ir -0.241 1.996 1.556
Tc 1.880 4.348 3.978
As 4.231 4.691 4.831
CELL_PARAMETERS angstrom
-0.827 2.388 -1.594
-1.777 -0.749 2.283
4.243 4.704 4.845
```

=====

Record 3
Compound: Ac3Pm7Er2
Source: the Alexandria database
Functional: PBE
Structure: relaxed Values from VASP.

Computed properties:
ΔE_f   0.22 eV/atom

Geometry as Quantum ESPRESSO input:
```
&SYSTEM
  ibrav = 0, nat = 12, ntyp = 3
/
ATOMIC_SPECIES
Pm 145.00 Pm.upf
Ac 227.00 Ac.upf
Er 167.26 Er.upf
ATOMIC_POSITIONS angstrom
Pm 2.347 -0.001 3.372
Ac 3.631 -0.004 13.206
Pm 2.228 5.813 17.072
Pm 4.190 2.903 17.505
Pm 0.385 2.909 2.939
Ac 1.874 2.910 -0.246
Pm 3.050 2.906 8.762
Pm 1.526 2.906 11.682
Pm 0.000 0.000 0.000
Er 2.628 2.909 5.515
Ac 0.945 5.815 7.238
Er 1.947 2.903 14.929
CELL_PARAMETERS angstrom
3.748 0.000 -0.490
0.000 5.819 -0.002
0.828 -0.008 20.936
```